[1]
Density functional theory data (PBE) for a relaxed structure of SrZnIr2S.

abc: 5.1822 5.1822 5.3206
angles: 90.00 90.00 90.00
Last column: nearest neighbours and their distance in Å.
Fractional coordinates of all 5 atoms:
Sr  0.0000  0.0000  0.0000  4 Ir 2.59, 2 S 2.66
Zn  0.5000  0.5000  0.5000  4 S 3.66, 8 Ir 3.71
Ir  0.0000  0.5000  0.0000  2 Sr 2.59
Ir  0.5000  0.0000  0.0000  2 Sr 2.59
S  0.0000  0.0000  0.5000  2 Sr 2.66

Space-group type = P4/mmm
M_tot = 0.47 μB/atom
E_form (uncorrected) = 2.05 eV per atom
Electronic total energy = -2.912 eV/atom



[2]
Density functional theory data (PBE) for a relaxed structure of Y5Re3.

abc: 6.3302 6.3302 4.6919
angles: 90.00 90.00 105.04
Last column: nearest neighbours and their distance in Å.
Fractional coordinates of all 8 atoms:
Y  0.0000  0.0000  0.0000  8 Y 3.17-3.25, 4 Re 3.18
Y  0.0000  0.5000  0.0000  6 Re 3.06-3.17, 2 Y 3.17
Y  0.2926  0.2926  0.5000  4 Re 2.84-3.11
Y  0.5000  0.0000  0.0000  6 Re 3.06-3.17, 2 Y 3.17
Y  0.7074  0.7074  0.5000  4 Re 2.84-3.11
Re  0.2140  0.7860  0.5000  10 Y 3.06-3.29
Re  0.5000  0.5000  0.0000  8 Y 2.84-3.17
Re  0.7860  0.2140  0.5000  10 Y 3.06-3.29

Space-group type = Cmmm
M_tot = 0.00 μB/atom
Electronic total energy = -8.318 eV/atom
Formation energy from the elements = 0.390 eV per atom



[3]
Density functional theory data (PBE) for a relaxed structure of Rb12Li3Au5.

abc: 18.7641 18.7641 18.7641
angles: 109.47 109.47 109.47
Last column: nearest neighbours and their distance in Å.
Fractional coordinates of all 80 atoms:
Rb  0.0345  0.2099  0.1202  2 Au 3.34-3.53
Rb  0.0345  0.3245  0.9142  2 Au 3.34-3.53
Rb  0.0858  0.6202  0.4103  2 Au 3.34-3.53
Rb  0.0858  0.9655  0.6755  2 Au 3.34-3.53
Rb  0.0897  0.7099  0.6755  2 Au 3.34-3.53
Rb  0.0897  0.8798  0.4142  2 Au 3.34-3.53
Rb  0.1202  0.0345  0.2099  2 Au 3.34-3.53
Rb  0.1202  0.5858  0.9103  2 Au 3.34-3.53
Rb  0.1755  0.2099  0.5897  2 Au 3.34-3.53
Rb  0.1755  0.4655  0.5858  2 Au 3.34-3.53
Rb  0.2099  0.1202  0.0345  2 Au 3.34-3.53
Rb  0.2099  0.5897  0.1755  2 Au 3.34-3.53
Rb  0.2901  0.3245  0.9103  2 Au 3.34-3.53
Rb  0.2901  0.4655  0.3798  2 Au 3.34-3.53
Rb  0.3245  0.9103  0.2901  2 Au 3.34-3.53
Rb  0.3245  0.9142  0.0345  2 Au 3.34-3.53
Rb  0.3798  0.2901  0.4655  2 Au 3.34-3.53
Rb  0.3798  0.5897  0.9142  2 Au 3.34-3.53
Rb  0.4103  0.0858  0.6202  2 Au 3.34-3.53
Rb  0.4103  0.8245  0.7901  2 Au 3.34-3.53
Rb  0.4142  0.0897  0.8798  2 Au 3.34-3.53
Rb  0.4142  0.8245  0.5345  2 Au 3.34-3.53
Rb  0.4655  0.3798  0.2901  2 Au 3.34-3.53
Rb  0.4655  0.5858  0.1755  2 Au 3.34-3.53
Rb  0.5345  0.4142  0.8245  2 Au 3.34-3.53
Rb  0.5345  0.6202  0.7099  2 Au 3.34-3.53
Rb  0.5858  0.1755  0.4655  2 Au 3.34-3.53
Rb  0.5858  0.9103  0.1202  2 Au 3.34-3.53
Rb  0.5897  0.1755  0.2099  2 Au 3.34-3.53
Rb  0.5897  0.9142  0.3798  2 Au 3.34-3.53
Rb  0.6202  0.4103  0.0858  2 Au 3.34-3.53
Rb  0.6202  0.7099  0.5345  2 Au 3.34-3.53
Rb  0.6755  0.0858  0.9655  2 Au 3.34-3.53
Rb  0.6755  0.0897  0.7099  2 Au 3.34-3.53
Rb  0.7099  0.5345  0.6202  2 Au 3.34-3.53
Rb  0.7099  0.6755  0.0897  2 Au 3.34-3.53
Rb  0.7901  0.4103  0.8245  2 Au 3.34-3.53
Rb  0.7901  0.8798  0.9655  2 Au 3.34-3.53
Rb  0.8245  0.5345  0.4142  2 Au 3.34-3.53
Rb  0.8245  0.7901  0.4103  2 Au 3.34-3.53
Rb  0.8798  0.4142  0.0897  2 Au 3.34-3.53
Rb  0.8798  0.9655  0.7901  2 Au 3.34-3.53
Rb  0.9103  0.1202  0.5858  2 Au 3.34-3.53
Rb  0.9103  0.2901  0.3245  2 Au 3.34-3.53
Rb  0.9142  0.0345  0.3245  2 Au 3.34-3.53
Rb  0.9142  0.3798  0.5897  2 Au 3.34-3.53
Rb  0.9655  0.6755  0.0858  2 Au 3.34-3.53
Rb  0.9655  0.7901  0.8798  2 Au 3.34-3.53
Li  0.1250  0.2500  0.3750  8 Rb 4.14-4.20
Li  0.1250  0.3750  0.7500  8 Rb 4.14-4.20
Li  0.2500  0.3750  0.1250  8 Rb 4.14-4.20
Li  0.2500  0.8750  0.6250  8 Rb 4.14-4.20
Li  0.3750  0.1250  0.2500  8 Rb 4.14-4.20
Li  0.3750  0.7500  0.1250  8 Rb 4.14-4.20
Li  0.6250  0.2500  0.8750  8 Rb 4.14-4.20
Li  0.6250  0.8750  0.7500  8 Rb 4.14-4.20
Li  0.7500  0.1250  0.3750  8 Rb 4.14-4.20
Li  0.7500  0.6250  0.8750  8 Rb 4.14-4.20
Li  0.8750  0.6250  0.2500  8 Rb 4.14-4.20
Li  0.8750  0.7500  0.6250  8 Rb 4.14-4.20
Au  0.0000  0.0000  0.0000  6 Rb 3.53
Au  0.0000  0.0000  0.5000  6 Rb 3.53
Au  0.0000  0.5000  0.0000  6 Rb 3.53
Au  0.0000  0.5000  0.5000  6 Rb 3.53
Au  0.1250  0.7500  0.8750  4 Rb 3.34
Au  0.1250  0.8750  0.2500  4 Rb 3.34
Au  0.2500  0.1250  0.8750  4 Rb 3.34
Au  0.2500  0.6250  0.3750  4 Rb 3.34
Au  0.3750  0.2500  0.6250  4 Rb 3.34
Au  0.3750  0.6250  0.7500  4 Rb 3.34
Au  0.5000  0.0000  0.0000  6 Rb 3.53
Au  0.5000  0.0000  0.5000  6 Rb 3.53
Au  0.5000  0.5000  0.0000  6 Rb 3.53
Au  0.5000  0.5000  0.5000  6 Rb 3.53
Au  0.6250  0.3750  0.2500  4 Rb 3.34
Au  0.6250  0.7500  0.3750  4 Rb 3.34
Au  0.7500  0.3750  0.6250  4 Rb 3.34
Au  0.7500  0.8750  0.1250  4 Rb 3.34
Au  0.8750  0.1250  0.7500  4 Rb 3.34
Au  0.8750  0.2500  0.1250  4 Rb 3.34

Space-group type = Ia-3d
M_tot = 0.00 μB/atom
Electronic total energy = -1.684 eV/atom
Formation energy from the elements = 0.003 eV per atom



[4]
Density functional theory data (PBE) for a relaxed structure of La3NdY.

abc: 7.9147 7.9147 6.7611
angles: 90.00 90.00 120.06
Last column: nearest neighbours and their distance in Å.
Fractional coordinates of all 10 atoms:
La  0.1987  0.3980  0.7500  2 La 3.19, 2 Nd 3.21
La  0.1989  0.8011  0.7500  2 La 3.19, 2 Nd 3.21
La  0.3980  0.1987  0.2500  2 La 3.19, 2 Nd 3.21
La  0.6020  0.8013  0.7500  2 La 3.19, 2 Nd 3.21
La  0.8011  0.1989  0.2500  2 La 3.19, 2 Nd 3.21
La  0.8013  0.6020  0.2500  2 La 3.19, 2 Nd 3.21
Nd  0.0000  0.0000  0.0000  6 La 3.21, 2 Nd 3.38
Nd  0.0000  0.0000  0.5000  6 La 3.21, 2 Nd 3.38
Y  0.3338  0.6662  0.2500  12 La 3.85-3.98
Y  0.6662  0.3338  0.7500  12 La 3.85-3.98

Space-group type = Cmcm
M_tot = 0.00 μB/atom
Electronic total energy = -4.932 eV/atom
Formation energy from the elements = 0.271 eV per atom



[5]
Density functional theory data (PBE) for a relaxed structure of BaReBr.

abc: 5.3595 5.3595 5.3595
angles: 60.00 60.00 60.00
Last column: nearest neighbours and their distance in Å.
Fractional coordinates of all 3 atoms:
Ba  0.0000  0.0000  0.0000  4 Br 3.28
Re  0.5000  0.5000  0.5000  4 Br 3.28
Br  0.7500  0.7500  0.7500  4 Ba 3.28, 4 Re 3.28

Space-group type = F-43m
M_tot = 1.33 μB/atom
E_form (uncorrected) = 1.04 eV per atom
Electronic total energy = -4.303 eV/atom



[6]
Density functional theory data (PBE) for a relaxed structure of Ac6SmY.

abc: 9.3767 9.3767 6.4636
angles: 110.08 110.08 39.66
Last column: nearest neighbours and their distance in Å.
Fractional coordinates of all 8 atoms:
Ac  0.1184  0.1184  0.0870  2 Y 3.60-3.94, 2 Sm 3.73, 5 Ac 3.82-3.94
Ac  0.2493  0.2493  0.7065  10 Ac 3.82-4.16, 1 Y 4.10, 1 Sm 4.13
Ac  0.3818  0.3818  0.3511  2 Sm 3.60-3.94, 2 Y 3.73, 5 Ac 3.83-3.96
Ac  0.6182  0.6182  0.6489  2 Sm 3.60-3.94, 2 Y 3.73, 5 Ac 3.83-3.96
Ac  0.7507  0.7507  0.2935  10 Ac 3.82-4.16, 1 Y 4.10, 1 Sm 4.13
Ac  0.8816  0.8816  0.9130  2 Y 3.60-3.94, 2 Sm 3.73, 5 Ac 3.82-3.94
Sm  0.5000  0.5000  0.0000  8 Ac 3.60-3.94
Y  0.0000  0.0000  0.5000  8 Ac 3.60-3.94

Space-group type = C2/m
M_tot = 0.00 μB/atom
Electronic total energy = -4.371 eV/atom
Formation energy from the elements = 0.108 eV per atom



[7]
Density functional theory data (PBE) for a relaxed structure of NiSb2Pd4.

abc: 8.9296 8.9296 8.9296
angles: 27.28 27.28 27.28
Last column: nearest neighbours and their distance in Å.
Fractional coordinates of all 7 atoms:
Ni  0.0000  0.0000  0.0000  2 Sb 2.43, 6 Pd 2.66
Sb  0.0943  0.0943  0.0943  1 Ni 2.43, 4 Pd 2.64-2.71
Sb  0.9057  0.9057  0.9057  1 Ni 2.43, 4 Pd 2.64-2.71
Pd  0.1994  0.1994  0.1994  4 Sb 2.64-2.71
Pd  0.3755  0.3755  0.3755  3 Ni 2.66, 3 Sb 2.78
Pd  0.6245  0.6245  0.6245  3 Ni 2.66, 3 Sb 2.78
Pd  0.8006  0.8006  0.8006  4 Sb 2.64-2.71

Space-group type = R-3m
M_tot = 0.00 μB/atom
E_form (uncorrected) = -0.17 eV per atom
Electronic total energy = -5.146 eV/atom



[8]
Density functional theory data (PBE) for a relaxed structure of Na2AlGaO4.

abc: 5.3634 5.3634 5.3634
angles: 122.80 122.80 85.22
Last column: nearest neighbours and their distance in Å.
Fractional coordinates of all 8 atoms:
Na  0.0000  0.0000  0.0000  4 O 2.36
Na  0.7500  0.2500  0.5000  4 O 2.37
Al  0.2500  0.7500  0.5000  4 O 1.78
Ga  0.5000  0.5000  0.0000  4 O 1.87
O  0.2071  0.6288  0.0932  1 Al 1.78, 1 Ga 1.87
O  0.3712  0.4644  0.5782  1 Al 1.78, 1 Ga 1.87
O  0.5356  0.1139  0.9068  1 Al 1.78, 1 Ga 1.87
O  0.8861  0.7929  0.4218  1 Al 1.78, 1 Ga 1.87

Space-group type = I-4
M_tot = 0.00 μB/atom
E_form (uncorrected) = -2.22 eV per atom
Electronic total energy = -5.870 eV/atom